Record 1
A geometry-optimized LaIr2 structure. Source: the Alexandria database, functional PBE.

Lattice parameters (Å, degrees): 2.8977 2.8977 7.6308 90.00 90.00 120.00
Space group P-3m1 (No. 164)
Symmetry-distinct sites (fractional):
La 0.0000 0.0000 0.0000 (multiplicity 1)
Ir 0.3333 0.6667 0.6403 (multiplicity 2)

Summary:
E_form: 0.39 eV per atom



Record 2
A geometry-optimized CeSmSc2 structure. Source: the Alexandria database, functional PBE.

Lattice parameters (Å, degrees): 7.6671 7.6671 7.6671 90.00 90.00 90.00
Space group Fm-3m (No. 225)
Symmetry-distinct sites (fractional):
Ce 0.0000 0.0000 0.0000 (multiplicity 4)
Sm 0.0000 0.0000 0.5000 (multiplicity 4)
Sc 0.2500 0.2500 0.2500 (multiplicity 8)

Summary:
E_form: 0.10 eV per atom
Energy relative to the lowest polymorph listed for this composition: 0.0310 eV per atom



Record 3
A geometry-optimized TmMg8 structure. Source: the Alexandria database, functional PBE.

Lattice parameters (Å, degrees): 9.5325 9.5325 4.7087 90.00 90.00 90.00
Space group I4/mmm (No. 139)
Symmetry-distinct sites (fractional):
Tm 0.0000 0.0000 0.0000 (multiplicity 2)
Mg 0.0000 0.3372 0.0000 (multiplicity 8)
Mg 0.1697 0.1697 0.5000 (multiplicity 8)

Summary:
E_form: -0.02 eV per atom



Record 4
A geometry-optimized ZnCu7Pd12 structure. Source: the Alexandria database, functional PBE.

Lattice parameters (Å, degrees): 11.1936 11.1936 8.0002 90.00 90.00 120.00
Space group R-3 (No. 148, hexagonal axes)
Symmetry-distinct sites (fractional):
Zn 0.0000 0.0000 0.0000 (multiplicity 3)
Cu 0.0000 0.0000 0.5000 (multiplicity 3)
Cu 0.0748 0.4866 0.6022 (multiplicity 18)
Pd 0.0343 0.2514 0.5600 (multiplicity 18)
Pd 0.0415 0.1747 0.2398 (multiplicity 18)

Summary:
E_form: -0.06 eV per atom



Record 5
A geometry-optimized Hg3PRh structure. Source: the Alexandria database, functional PBE.

Lattice parameters (Å, degrees): 5.2554 5.2554 5.2554 90.00 90.00 90.00
Space group Pm-3m (No. 221)
Symmetry-distinct sites (fractional):
Hg 0.0000 0.0000 0.5000 (multiplicity 3)
P 0.5000 0.5000 0.5000 (multiplicity 1)
Rh 0.0000 0.0000 0.0000 (multiplicity 1)

Summary:
E_form: 0.76 eV per atom
Energy relative to the lowest polymorph listed for this composition: 0.0000 eV per atom



Record 6
A geometry-optimized Ac5Tb3H12 structure. Source: the Alexandria database, functional PBE.

Lattice parameters (Å, degrees): 14.0714 14.0714 14.0714 90.00 90.00 90.00
Space group Ia-3d (No. 230)
Symmetry-distinct sites (fractional):
Ac 0.0000 0.0000 0.0000 (multiplicity 16)
Ac 0.0000 0.2500 0.3750 (multiplicity 24)
Tb 0.0000 0.2500 0.1250 (multiplicity 24)
H 0.0078 0.0721 0.1606 (multiplicity 96)

Summary:
Raw total energy: -4.083 eV/atom